Below is Ca2CoRu after structural relaxation, with properties calculated at the GGA-PBE level.

Calculated values
Density of states at the Fermi level in states/eV/cell: 8.7
E in eV per atom: -4.3589
SG: I-42d, No. 122

Cell: 6.125 6.125 6.125 Å, 102.26 102.26 125.12°
Sites, in units of the cell vectors:
Ca1 0.114 0.625 0.989
Ca2 0.375 0.364 0.489
Ca3 0.636 0.125 0.011
Ca4 0.875 0.886 0.511
Co1 0.000 0.000 0.000
Co2 0.750 0.250 0.500
Ru1 0.250 0.750 0.500
Ru2 0.500 0.500 0.000

---

Below is CeTm12Tl3 after structural relaxation, with properties calculated at the GGA-PBE level.

Calculated values
Density of states at the Fermi level in states/eV/cell: 21.1
E in eV per atom: -4.2649
SG: P4/mmm, No. 123

Cell: 4.800 4.800 19.591 Å, 90.00 90.00 90.00°
Sites, in units of the cell vectors:
Ce1 0.000 0.000 0.000
Tm1 0.000 0.500 0.129
Tm2 0.000 0.500 0.377
Tm3 0.000 0.500 0.623
Tm4 0.000 0.500 0.871
Tm5 0.500 0.000 0.129
Tm6 0.500 0.000 0.377
Tm7 0.500 0.000 0.623
Tm8 0.500 0.000 0.871
Tm9 0.500 0.500 0.000
Tm10 0.500 0.500 0.255
Tm11 0.500 0.500 0.500
Tm12 0.500 0.500 0.745
Tl1 0.000 0.000 0.256
Tl2 0.000 0.000 0.500
Tl3 0.000 0.000 0.744

---

Below is NaSn2Au after structural relaxation, with properties calculated at the GGA-PBE level.

Calculated values
Density of states at the Fermi level in states/eV/cell: 1.0
E in eV per atom: -3.3073
SG: P4/mmm, No. 123

Cell: 4.511 4.511 4.547 Å, 90.00 90.00 90.00°
Sites, in units of the cell vectors:
Na1 0.000 0.000 0.000
Sn1 0.000 0.500 0.500
Sn2 0.500 0.000 0.500
Au1 0.500 0.500 0.000

---

Below is PrBiAs2 after structural relaxation, with properties calculated at the GGA-PBE level.

Calculated values
E above lowest polymorph in meV per atom: 0.0
Density of states at the Fermi level in states/eV/cell: 1.5
E in eV per atom: -5.0544
SG: P4/mmm, No. 123

Cell: 5.031 5.031 3.973 Å, 90.00 90.00 90.00°
Sites, in units of the cell vectors:
Pr1 0.000 0.000 0.000
Bi1 0.500 0.500 0.000
As1 0.000 0.500 0.500
As2 0.500 0.000 0.500

---

Below is Pm3Nd8 after structural relaxation, with properties calculated at the GGA-PBE level.

Calculated values
E above lowest polymorph in meV per atom: 428.4
Density of states at the Fermi level in states/eV/cell: 13.8
E in eV per atom: -4.3221
SG: R-3, No. 148

Cell: 7.327 7.327 7.327 Å, 85.36 85.36 85.36°
Sites, in units of the cell vectors:
Pm1 0.000 0.500 0.500
Pm2 0.500 0.000 0.500
Pm3 0.500 0.500 0.000
Nd1 0.112 0.853 0.694
Nd2 0.147 0.306 0.888
Nd3 0.306 0.888 0.147
Nd4 0.380 0.380 0.380
Nd5 0.620 0.620 0.620
Nd6 0.694 0.112 0.853
Nd7 0.853 0.694 0.112
Nd8 0.888 0.147 0.306

---

Below is Sc4Sn2N after structural relaxation, with properties calculated at the GGA-PBE level.

Calculated values
E above lowest polymorph in meV per atom: 127.7
Density of states at the Fermi level in states/eV/cell: 9.2
E in eV per atom: -6.8549
SG: P2_1/m, No. 11

Cell: 5.968 6.285 8.583 Å, 90.00 109.01 90.00°
Sites, in units of the cell vectors:
Sc1 0.189 0.250 0.038
Sc2 0.253 0.750 0.339
Sc3 0.256 0.002 0.711
Sc4 0.256 0.498 0.711
Sc5 0.744 0.502 0.289
Sc6 0.744 0.998 0.289
Sc7 0.747 0.250 0.661
Sc8 0.811 0.750 0.962
Sn1 0.248 0.250 0.401
Sn2 0.328 0.750 0.024
Sn3 0.672 0.250 0.976
Sn4 0.752 0.750 0.599
N1 0.100 0.250 0.787
N2 0.900 0.750 0.213

---

Below is BaAsWI2 after structural relaxation, with properties calculated at the GGA-PBE level.

Calculated values
Density of states at the Fermi level in states/eV/cell: 6.1
E in eV per atom: -3.8863
SG: P4/mmm, No. 123

Cell: 5.236 5.236 6.966 Å, 90.00 90.00 90.00°
Sites, in units of the cell vectors:
Ba1 0.000 0.000 0.000
As1 0.500 0.500 0.000
W1 0.000 0.000 0.500
I1 0.000 0.500 0.500
I2 0.500 0.000 0.500

---

Below is Pr6Pd2S after structural relaxation, with properties calculated at the GGA-PBE level.

Calculated values
Density of states at the Fermi level in states/eV/cell: 19.9
E in eV per atom: -5.5460
SG: P2_1/c, No. 14

Cell: 6.797 7.552 12.357 Å, 90.00 121.50 90.00°
Sites, in units of the cell vectors:
Pr1 0.090 0.185 0.430
Pr2 0.090 0.315 0.930
Pr3 0.263 0.671 0.431
Pr4 0.263 0.829 0.931
Pr5 0.401 0.037 0.247
Pr6 0.401 0.463 0.747
Pr7 0.599 0.537 0.253
Pr8 0.599 0.963 0.753
Pr9 0.737 0.171 0.069
Pr10 0.737 0.329 0.569
Pr11 0.910 0.685 0.070
Pr12 0.910 0.815 0.570
Pd1 0.175 0.118 0.741
Pd2 0.175 0.382 0.241
Pd3 0.825 0.618 0.759
Pd4 0.825 0.882 0.259
S1 0.500 0.000 0.500
S2 0.500 0.500 0.000

---

Below is Sr2CaFe2 after structural relaxation, with properties calculated at the GGA-PBE level.

Calculated values
E above lowest polymorph in meV per atom: 310.7
Density of states at the Fermi level in states/eV/cell: 18.6
E in eV per atom: -3.6904
SG: P4/mbm, No. 127

Cell: 9.068 9.068 3.484 Å, 90.00 90.00 90.00°
Sites, in units of the cell vectors:
Sr1 0.136 0.364 0.000
Sr2 0.364 0.864 0.000
Sr3 0.636 0.136 0.000
Sr4 0.864 0.636 0.000
Ca1 0.000 0.000 0.000
Ca2 0.500 0.500 0.000
Fe1 0.165 0.665 0.500
Fe2 0.335 0.165 0.500
Fe3 0.665 0.835 0.500
Fe4 0.835 0.335 0.500

---

Below is BeCo2Pb after structural relaxation, with properties calculated at the GGA-PBE level.

Calculated values
E above lowest polymorph in meV per atom: 371.1
Density of states at the Fermi level in states/eV/cell: 3.1
E in eV per atom: -4.7415
SG: R3m, No. 160

Cell: 8.246 8.246 8.246 Å, 20.86 20.86 20.86°
Sites, in units of the cell vectors:
Be1 0.000 0.000 0.000
Co1 0.270 0.270 0.270
Co2 0.534 0.534 0.534
Pb1 0.769 0.769 0.769

---

Below is HfCdSiO2 after structural relaxation, with properties calculated at the GGA-PBE level.

Calculated values
Density of states at the Fermi level in states/eV/cell: 4.1
E in eV per atom: -4.7536
SG: P4/mmm, No. 123

Cell: 4.028 4.028 5.794 Å, 90.00 90.00 90.00°
Sites, in units of the cell vectors:
Hf1 0.000 0.000 0.000
Cd1 0.000 0.000 0.500
Si1 0.500 0.500 0.000
O1 0.000 0.500 0.500
O2 0.500 0.000 0.500

---

Which value of E does entry 10 give? -4.7415 eV per atom

---

Among the records above, which one has the lowest density of states at the Fermi level? NaSn2Au

---

What is the E in the eighth record? -5.5460 eV per atom